The following is a DFT calculation (PBE+U) of an optimized crystal structure of LaRuW2O.

abc: 4.260 4.260 4.973
angles: 90.00 90.00 90.00
Space group P4/mmm (No. 123)
Inequivalent atoms, fractional coordinates:
La: 0.000 0.000 0.000 [1 per cell]
Ru: 0.500 0.500 0.000 [1 per cell]
W: 0.000 0.500 0.500 [2 per cell]
O: 0.000 0.000 0.500 [1 per cell]

Calculated values
final energy: -33.19 eV/cell
total magnetization: 4.21 μB per cell